Entry 1:
# Li2Si | Alexandria via LeMat-Bulk | SCAN | single point on PBEsol structure
data_Li2Si
_cell_length_a 6.224
_cell_length_b 6.224
_cell_length_c 5.044
_cell_angle_alpha 90.00
_cell_angle_beta 90.00
_cell_angle_gamma 90.00
_symmetry_space_group_name_H-M 'I 4/m c m'
_symmetry_Int_Tables_number 140
_symmetry_space_group_name_Hall '-I 4 2c'
loop_
_atom_site_label
_atom_site_type_symbol
_atom_site_fract_x
_atom_site_fract_y
_atom_site_fract_z
Li1 Li 0.175 0.325 0.000
Si1 Si 0.000 0.000 0.250
# Crystal system: tetragonal


Entry 2:
# SrPCl2 | Alexandria via LeMat-Bulk | SCAN | single point on PBEsol structure
data_SrPCl2
_cell_length_a 3.430
_cell_length_b 3.430
_cell_length_c 9.177
_cell_angle_alpha 90.00
_cell_angle_beta 90.00
_cell_angle_gamma 90.00
_symmetry_space_group_name_H-M 'P 4/m m m'
_symmetry_Int_Tables_number 123
_symmetry_space_group_name_Hall '-P 4 2'
loop_
_atom_site_label
_atom_site_type_symbol
_atom_site_fract_x
_atom_site_fract_y
_atom_site_fract_z
Sr1 Sr 0.000 0.000 0.000
P1 P 0.000 0.000 0.500
Cl1 Cl 0.500 0.500 0.178
# Polymorph energy (0 for the lowest one), eV/atom: 0.056
# Crystal system: tetragonal


How do the records compare in ΔE_f (raw)? In the order shown, they have -0.13, -1.05 eV per atom.